(1)
! YP (PBE-GGA, optimized geometry); values from VASP
! ΔE_f = -0.44 eV per atom
&SYSTEM
  ibrav = 0, nat = 4, ntyp = 2
/
ATOMIC_SPECIES
Y 88.91 Y.upf
P 30.97 P.upf
ATOMIC_POSITIONS crystal
Y 0.4040 0.4040 0.4040
Y 0.5960 0.5960 0.5960
P 0.9213 0.9213 0.9213
P 0.0787 0.0787 0.0787
CELL_PARAMETERS angstrom
-7.6065 1.3304 -3.7637
-5.5799 -1.9220 -6.2423
-7.6968 -3.0072 -2.3475

---

(2)
! BeTeSe (PBE-GGA, optimized geometry); values from VASP
! Distance to the lowest polymorph of the same formula = 507 meV/atom
! E_form (uncorrected) = 0.3701 eV/atom
&SYSTEM
  ibrav = 0, nat = 3, ntyp = 3
/
ATOMIC_SPECIES
Be 9.01 Be.upf
Te 127.60 Te.upf
Se 78.96 Se.upf
ATOMIC_POSITIONS crystal
Be 0.2500 0.2500 0.2500
Te 0.5000 0.5000 0.5000
Se 0.0000 0.0000 0.0000
CELL_PARAMETERS angstrom
4.5266 0.0000 0.0000
2.2633 3.9201 0.0000
2.2633 1.3067 3.6959

---

(3)
! Pm3Pr2PuN6 (PBE-GGA, optimized geometry); values from VASP
! E_form (uncorrected) = -1.3543 eV/atom
&SYSTEM
  ibrav = 0, nat = 12, ntyp = 4
/
ATOMIC_SPECIES
Pm 145.00 Pm.upf
Pr 140.91 Pr.upf
Pu 244.00 Pu.upf
N 14.01 N.upf
ATOMIC_POSITIONS crystal
Pm 0.1648 0.8352 0.5000
Pm 0.8352 0.1648 0.5000
Pm 0.5000 0.5000 0.5000
Pr 0.3336 0.6664 0.0000
Pr 0.6664 0.3336 0.0000
Pu 0.0000 0.0000 0.0000
N 0.9195 0.6089 0.7579
N 0.7676 0.7676 0.2457
N 0.0805 0.3911 0.2421
N 0.6089 0.9195 0.7579
N 0.2324 0.2324 0.7543
N 0.3911 0.0805 0.2421
CELL_PARAMETERS angstrom
6.2526 0.0023 -0.0008
-3.1228 5.4169 -0.0008
-1.0447 -1.8088 5.8840

---

(4)
! RbGa3Br (PBE-GGA, optimized geometry); values from VASP
! Distance to the lowest polymorph of the same formula = 0 meV/atom
! E_form (uncorrected) = 0.1676 eV/atom
&SYSTEM
  ibrav = 0, nat = 5, ntyp = 3
/
ATOMIC_SPECIES
Ga 69.72 Ga.upf
Br 79.90 Br.upf
Rb 85.47 Rb.upf
ATOMIC_POSITIONS crystal
Ga 0.0000 0.5000 0.0000
Ga 0.0000 0.0000 0.5000
Ga 0.5000 0.0000 0.0000
Br 0.0000 0.0000 0.0000
Rb 0.5000 0.5000 0.5000
CELL_PARAMETERS angstrom
5.7740 0.0000 0.0000
0.0000 5.7740 0.0000
0.0000 0.0000 5.7740

---

(5)
! Ag2PtRh2 (PBE-GGA, optimized geometry); values from VASP
! ΔE_f = 0.46 eV per atom
&SYSTEM
  ibrav = 0, nat = 10, ntyp = 3
/
ATOMIC_SPECIES
Rh 102.91 Rh.upf
Ag 107.87 Ag.upf
Pt 195.08 Pt.upf
ATOMIC_POSITIONS crystal
Rh 0.3688 0.8688 0.0000
Rh 0.8688 0.6312 0.0000
Rh 0.6312 0.1312 0.0000
Rh 0.1312 0.3688 0.0000
Ag 0.1705 0.6705 0.5000
Ag 0.6705 0.8295 0.5000
Ag 0.8295 0.3295 0.5000
Ag 0.3295 0.1705 0.5000
Pt 0.0000 0.0000 0.0000
Pt 0.5000 0.5000 0.0000
CELL_PARAMETERS angstrom
6.5246 0.0000 0.0000
0.0000 6.5246 0.0000
0.0000 0.0000 4.1300

---

(6)
! La4SiPd3 (PBE-GGA, optimized geometry); values from VASP
! E_form (uncorrected) = -0.7845 eV/atom
&SYSTEM
  ibrav = 0, nat = 8, ntyp = 3
/
ATOMIC_SPECIES
La 138.91 La.upf
Si 28.09 Si.upf
Pd 106.42 Pd.upf
ATOMIC_POSITIONS crystal
La 0.5000 0.5000 0.3610
La 0.0000 0.5000 0.8640
La 0.0000 0.0000 0.1381
La 0.5000 0.0000 0.6340
Si 0.5000 0.5000 0.0747
Pd 0.0000 0.5000 0.5871
Pd 0.0000 0.0000 0.4152
Pd 0.5000 0.0000 0.9258
CELL_PARAMETERS angstrom
-2.9243 -2.8023 0.9113
0.3953 -1.7409 -4.0847
7.9256 -7.0450 3.7695

---

(7)
! InIrPb2 (PBE-GGA, optimized geometry); values from VASP
! ΔE_f = 0.22 eV per atom
&SYSTEM
  ibrav = 0, nat = 4, ntyp = 3
/
ATOMIC_SPECIES
In 114.82 In.upf
Ir 192.22 Ir.upf
Pb 207.20 Pb.upf
ATOMIC_POSITIONS crystal
In 0.4336 0.4336 0.0000
Ir 0.2581 0.7581 0.5000
Pb 0.0642 0.0642 0.0000
Pb 0.7441 0.2441 0.5000
CELL_PARAMETERS angstrom
7.1663 0.0051 0.0077
4.8134 5.3091 -0.0077
-5.5578 -3.6312 2.6985

---

(8)
! Pu3ClO3 (PBE-GGA, optimized geometry); values from VASP
! E_form (uncorrected) = -2.5497 eV/atom
&SYSTEM
  ibrav = 0, nat = 14, ntyp = 3
/
ATOMIC_SPECIES
Pu 244.00 Pu.upf
Cl 35.45 Cl.upf
O 16.00 O.upf
ATOMIC_POSITIONS crystal
Pu 0.4281 0.7700 0.7007
Pu 0.7700 0.1012 0.7007
Pu 0.1012 0.4281 0.7007
Pu 0.8988 0.5719 0.2993
Pu 0.2300 0.8988 0.2993
Pu 0.5719 0.2300 0.2993
Cl 0.6668 0.6668 0.9996
Cl 0.3332 0.3332 0.0004
O 0.2135 0.5404 0.3668
O 0.8794 0.2135 0.3668
O 0.5404 0.8794 0.3668
O 0.4596 0.1206 0.6332
O 0.1206 0.7865 0.6332
O 0.7865 0.4596 0.6332
CELL_PARAMETERS angstrom
-2.2020 -6.1021 -2.0339
0.8532 -5.4292 4.0021
-6.6181 -2.6127 3.6410

---

(9)
! RbBa4Ta3O12 (PBE-GGA, optimized geometry); values from VASP
! E_form (uncorrected) = -2.6976 eV/atom
&SYSTEM
  ibrav = 0, nat = 20, ntyp = 4
/
ATOMIC_SPECIES
Rb 85.47 Rb.upf
Ba 137.33 Ba.upf
Ta 180.95 Ta.upf
O 16.00 O.upf
ATOMIC_POSITIONS crystal
Rb 0.0000 0.0000 0.0000
Ba 0.5000 0.5000 0.5000
Ba 0.0000 0.0000 0.5000
Ba 0.5000 0.0000 0.0000
Ba 0.0000 0.5000 0.0000
Ta 0.5000 0.0000 0.5000
Ta 0.5000 0.5000 0.0000
Ta 0.0000 0.5000 0.5000
O 0.2500 0.5000 0.7500
O 0.7178 0.0000 0.7178
O 0.2822 0.0000 0.2822
O 0.7500 0.5000 0.2500
O 0.7178 0.7178 0.0000
O 0.2822 0.2822 0.0000
O 0.7500 0.2500 0.5000
O 0.2500 0.7500 0.5000
O 0.5000 0.2500 0.7500
O 0.0000 0.7178 0.7178
O 0.5000 0.7500 0.2500
O 0.0000 0.2822 0.2822
CELL_PARAMETERS angstrom
7.4600 0.0000 0.0000
-2.4867 7.0333 0.0000
-2.4867 -3.5167 6.0910

---

(10)
! CuRu2Br (PBE-GGA, optimized geometry); values from VASP
! Distance to the lowest polymorph of the same formula = 308 meV/atom
! E_form (uncorrected) = 0.7541 eV/atom
&SYSTEM
  ibrav = 0, nat = 4, ntyp = 3
/
ATOMIC_SPECIES
Br 79.90 Br.upf
Cu 63.55 Cu.upf
Ru 101.07 Ru.upf
ATOMIC_POSITIONS crystal
Br 0.2500 0.2500 0.2500
Cu 0.7500 0.7500 0.7500
Ru 0.0012 0.0012 0.0012
Ru 0.4988 0.4988 0.4988
CELL_PARAMETERS angstrom
8.3337 0.0071 0.0042
7.8210 2.8779 0.0042
7.8210 1.3967 2.5163

---

(11)
! Rb3BeW (PBE-GGA, optimized geometry); values from VASP
! Distance to the lowest polymorph of the same formula = 0 meV/atom
! ΔE_f = 1.85 eV per atom
&SYSTEM
  ibrav = 0, nat = 5, ntyp = 3
/
ATOMIC_SPECIES
Be 9.01 Be.upf
Rb 85.47 Rb.upf
W 183.84 W.upf
ATOMIC_POSITIONS crystal
Be 0.0000 0.0000 0.0000
Rb 0.0000 0.5000 0.0000
Rb 0.0000 0.0000 0.5000
Rb 0.5000 0.0000 0.0000
W 0.5000 0.5000 0.5000
CELL_PARAMETERS angstrom
6.5063 0.0000 0.0000
0.0000 6.5063 0.0000
0.0000 0.0000 6.5063

---

(12)
! Mg2HgSe (PBE-GGA, optimized geometry); values from VASP
! Distance to the lowest polymorph of the same formula = 78 meV/atom
! E_form (uncorrected) = -0.4871 eV/atom
&SYSTEM
  ibrav = 0, nat = 8, ntyp = 3
/
ATOMIC_SPECIES
Mg 24.30 Mg.upf
Hg 200.59 Hg.upf
Se 78.96 Se.upf
ATOMIC_POSITIONS crystal
Mg 0.5955 0.1250 0.2500
Mg 0.1545 0.6250 0.2500
Mg 0.3750 0.4045 0.7500
Mg 0.8750 0.8455 0.7500
Hg 0.0000 0.0000 0.0000
Hg 0.7500 0.2500 0.5000
Se 0.5000 0.5000 0.0000
Se 0.2500 0.7500 0.5000
CELL_PARAMETERS angstrom
-3.1266 -4.7319 -4.7140
6.2607 -3.8898 -0.2480
0.4362 -6.3065 0.2723

---

What did we get for total energy? Answer: -25.5, -9.2, -104.3, -10.9, -48.3, -47.0, -18.1, -155.1, -157.7, -21.3, -10.3, -17.8 eV per cell, in the order shown.
What did we get for magnetic moment? Answer: 0.00, 0.00, 4.31, 0.00, 3.36, 0.00, 0.00, 33.76, 0.00, 0.00, 5.44, 0.00 μB per cell, in the order shown.